Entry 1:
NiMoPd | Alexandria via LeMat-Bulk | GGA-PBE | relaxed; total magnetic moment = 0.0 Bohr magnetons per cell; E_tot = -7.241 eV/atom; V = 13.95 Å³ per atom; formation energy from the elements = 0.08 eV/f.u.
1.0
4.294 0.000 0.000
-2.147 3.719 0.000
0.000 0.000 2.621
Ni Mo Pd
1 1 1
direct
0.000 0.000 0.000
0.333 0.667 0.500
0.667 0.333 0.000



Entry 2:
Al2SnAs | Alexandria via LeMat-Bulk | GGA-PBE | relaxed; total magnetic moment = 0.0 Bohr magnetons per cell; E_tot = -4.070 eV/atom; V = 27.13 Å³ per atom; formation energy from the elements = -0.14 eV/f.u.
1.0
-3.050 3.050 5.830
3.050 -3.050 5.830
3.050 3.050 -5.830
Al Sn As
4 2 2
direct
0.094 0.625 0.969
0.375 0.344 0.469
0.656 0.125 0.031
0.875 0.906 0.531
0.250 0.750 0.500
0.500 0.500 0.000
0.000 0.000 0.000
0.750 0.250 0.500